Computed, not measured: BaSbPt2 at its PBEsol-relaxed geometry at the SCAN level of DFT.

extended XYZ file:
```
4
Lattice="-4.016 -2.982 -0.357 0.461 -4.606 -1.929 -0.413 -4.016 2.974" Properties=species:S:1:pos:R:3 pbc="T T T"
Ba -1.984 -5.802 0.344
Pt 0.000 0.000 0.000
Pt -2.976 -8.703 0.516
Sb -0.992 -2.901 0.172
```

## Properties
magnetic moment = 0.00 μB/cell
formation energy without anion corrections = 0.30 eV/f.u.
calculated total energy = -54.2246 eV/atom
space-group type = No. 216